1.
The following is a PBE calculation of a geometry-optimized LaZrSb2F structure, from Alexandria via LeMat-Bulk.

Geometry as POSCAR:
```
LaZrSb2F
1.0
5.551 0.000 0.000
0.000 5.551 0.000
0.000 0.000 4.111
La Zr Sb F
1 1 2 1
Direct
0.000 0.000 0.000
0.500 0.500 0.000
0.000 0.500 0.500
0.500 0.000 0.500
0.500 0.500 0.500
```

## Properties
Symmetry: P4/mmm (123)

2.
The following is a PBE calculation of a geometry-optimized LaScF2 structure, from Alexandria via LeMat-Bulk.

Geometry as POSCAR:
```
LaScF2
1.0
0.000 3.261 3.261
3.261 0.000 3.261
3.261 3.261 0.000
La Sc F
1 1 2
Direct
0.000 0.000 0.000
0.500 0.500 0.500
0.250 0.250 0.250
0.750 0.750 0.750
```

## Properties
Polymorph energy (0 for the lowest one), eV/f.u.: 3.42
Symmetry: Fm-3m (225)

Calculated total magnetic moment in order - 0.48 0.00 μB per formula unit
Calculated ΔE_f (raw) in order - -995 -1638 meV/atom